Computed, not measured: an optimized crystal structure of TiReAs2Pd at the PBE-GGA level of DFT.

Structure (POSCAR):
```
TiReAs2Pd
1.0
4.746 0.000 0.000
0.000 4.679 0.000
0.000 0.000 4.746
Pd As Ti Re
1 2 1 1
direct
0.000 0.500 0.000
0.500 0.000 0.000
0.000 0.000 0.500
0.000 0.000 0.000
0.500 0.500 0.500
```

Crystal system: tetragonal
E_form, kJ/mol of atoms: 107.82
Electronic total energy, eV/atom: -5.849